Record 1
Here is crystalline InReOs2 at its relaxed geometry from the Alexandria database. Energies are from PBE.

Cell and atoms, written as POSCAR:
```
InReOs2
1.0
-3.011 3.039 -1.687
-3.133 -3.340 -0.426
-0.984 0.568 2.780
Re Os In
1 2 1
Direct
0.500 0.000 0.500
0.000 0.000 0.000
0.500 0.500 0.000
0.000 0.500 0.500
```

Results
Formation enthalpy at 0 K ... 0.6401 eV/atom
D(E_F) ... 0.7103 states/eV per atom
Space-group type ... P4/mmm, No. 123
E ... -0.3223 hartree per atom
Crystal system ... tetragonal

---

Record 2
Here is crystalline In2Re2Os at its relaxed geometry from the Alexandria database. Energies are from PBE.

Cell and atoms, written as POSCAR:
```
In2Re2Os
1.0
6.532 0.000 0.000
0.000 6.532 0.000
0.000 0.000 4.431
Re In Os
4 4 2
Direct
0.131 0.369 0.000
0.869 0.631 0.000
0.369 0.869 0.000
0.631 0.131 0.000
0.823 0.323 0.500
0.323 0.177 0.500
0.177 0.677 0.500
0.677 0.823 0.500
0.000 0.000 0.000
0.500 0.500 0.000
```

Results
Formation enthalpy at 0 K ... 0.7035 eV/atom
D(E_F) ... 1.0404 states/eV per atom
Space-group type ... P4/mbm, No. 127
Relative energy among the computed polymorphs ... 0.000 eV per atom
E ... -0.2799 hartree per atom
Crystal system ... tetragonal

---

Record 3
Here is crystalline InReOs2 at its relaxed geometry from the Alexandria database. Energies are from PBE.

Cell and atoms, written as POSCAR:
```
InReOs2
1.0
6.296 0.000 0.000
0.000 6.296 0.000
3.148 3.148 4.751
Os Re In
4 2 2
Direct
0.875 0.912 0.750
0.088 0.625 0.250
0.662 0.125 0.250
0.375 0.338 0.750
0.750 0.250 0.500
0.000 0.000 0.000
0.250 0.750 0.500
0.500 0.500 0.000
```

Results
Formation enthalpy at 0 K ... 1.4100 eV/atom
D(E_F) ... 0.2081 states/eV per atom
Space-group type ... I-42d, No. 122
E ... -0.2941 hartree per atom
Crystal system ... tetragonal

---

Record 4
Here is crystalline InReOs2 at its relaxed geometry from the Alexandria database. Energies are from PBE.

Cell and atoms, written as POSCAR:
```
InReOs2
1.0
-1.020 -0.561 2.560
1.294 -2.058 -1.414
8.169 2.521 3.808
Os In Re
2 1 1
Direct
0.000 0.000 0.486
0.000 0.000 0.014
0.500 0.500 0.750
0.500 0.500 0.250
```

Results
Formation enthalpy at 0 K ... 0.6673 eV/atom
D(E_F) ... 1.3766 states/eV per atom
Space-group type ... Cmmm, No. 65
E ... -0.3213 hartree per atom
Crystal system ... orthorhombic